[1]
Pm12ThRh7 | GGA-PBE | relaxed

The structure in CIF format:
```
data_Pm12ThRh7
_chemical_formula_sum 'Pm12 Th1 Rh7'
_symmetry_space_group_name_H-M 'P 1'
_symmetry_Int_Tables_number 1
_symmetry_space_group_name_Hall 'P 1'
_cell_length_a 8.973
_cell_length_b 8.973
_cell_length_c 8.973
_cell_angle_alpha 107.11
_cell_angle_beta 107.11
_cell_angle_gamma 107.11
loop_
_atom_site_label
_atom_site_type_symbol
_atom_site_fract_x
_atom_site_fract_y
_atom_site_fract_z
Rh1 Rh 0.962 0.648 0.880
Rh2 Rh 0.120 0.038 0.352
Rh3 Rh 0.648 0.880 0.962
Rh4 Rh 0.500 0.500 0.500
Rh5 Rh 0.880 0.962 0.648
Rh6 Rh 0.352 0.120 0.038
Rh7 Rh 0.038 0.352 0.120
Pm1 Pm 0.463 0.158 0.383
Pm2 Pm 0.775 0.927 0.308
Pm3 Pm 0.225 0.073 0.692
Pm4 Pm 0.927 0.308 0.775
Pm5 Pm 0.158 0.383 0.463
Pm6 Pm 0.842 0.617 0.537
Pm7 Pm 0.692 0.225 0.073
Pm8 Pm 0.073 0.692 0.225
Pm9 Pm 0.617 0.537 0.842
Pm10 Pm 0.383 0.463 0.158
Pm11 Pm 0.308 0.775 0.927
Pm12 Pm 0.537 0.842 0.617
Th1 Th 0.000 0.000 0.000
```

Output
Calculated volume (Å³/atom): 29.987
SG: R-3 (148)
Calculated total energy (eV/cell): -126.10

---

[2]
CdBr2Cl | GGA-PBE | relaxed

The structure in CIF format:
```
data_CdBr2Cl
_chemical_formula_sum 'Cd1 Br2 Cl1'
_symmetry_space_group_name_H-M 'P 1'
_symmetry_Int_Tables_number 1
_symmetry_space_group_name_Hall 'P 1'
_cell_length_a 5.840
_cell_length_b 5.343
_cell_length_c 5.829
_cell_angle_alpha 77.57
_cell_angle_beta 52.82
_cell_angle_gamma 102.52
loop_
_atom_site_label
_atom_site_type_symbol
_atom_site_fract_x
_atom_site_fract_y
_atom_site_fract_z
Br1 Br 0.500 0.000 0.500
Br2 Br 0.000 0.000 0.000
Cl1 Cl 0.500 0.500 0.000
Cd1 Cd 0.000 0.500 0.500
```

Output
Calculated volume (Å³/atom): 31.669
SG: C2/m (12)
Calculated total energy (eV/cell): -7.24

---

[3]
YCd2W | GGA-PBE | relaxed

The structure in CIF format:
```
data_YCd2W
_chemical_formula_sum 'Y1 Cd2 W1'
_symmetry_space_group_name_H-M 'P 1'
_symmetry_Int_Tables_number 1
_symmetry_space_group_name_Hall 'P 1'
_cell_length_a 2.996
_cell_length_b 2.996
_cell_length_c 9.469
_cell_angle_alpha 90.00
_cell_angle_beta 90.00
_cell_angle_gamma 93.32
loop_
_atom_site_label
_atom_site_type_symbol
_atom_site_fract_x
_atom_site_fract_y
_atom_site_fract_z
Cd1 Cd 0.000 0.000 0.012
Cd2 Cd 0.500 0.500 0.261
Y1 Y 0.500 0.500 0.736
W1 W 0.000 0.000 0.492
```

Output
Calculated volume (Å³/atom): 21.210
SG: Cmm2 (35)
Calculated total energy (eV/cell): -20.00

---

Q: Look up the calculated volume of the second one.
A: 31.669 Å³/atom

---

Q: Which of these has the highest calculated volume?
A: CdBr2Cl

---

Q: Which value of calculated volume does entry 3 give?
A: 21.210 Å³/atom

---

Q: What is the formula in the third record?
A: YCd2W